A relaxed structure of GaPbBr2. Source: Alexandria, functional PBE.

abc: 5.4468 5.4468 10.2348
angles: 74.57 74.57 90.00
Sites, in units of the cell vectors:
Pb (0.0000, 0.0000, 0.0000)
Pb (0.7500, 0.2500, 0.5000)
Ga (0.5000, 0.5000, 0.0000)
Ga (0.2500, 0.7500, 0.5000)
Br (0.6241, 0.1250, 0.2500)
Br (0.1259, 0.6250, 0.2500)
Br (0.3750, 0.3759, 0.7500)
Br (0.8750, 0.8741, 0.7500)

Summary:
Uncorrected formation energy: -0.29 eV/atom
DOS(E_F): 0.819 states/eV per atom
Excess energy over the best structure of this formula in the dataset: 70 meV/atom
Total magnetic moment: 0.0 μB per cell


A relaxed structure of Ga2Pb2Br. Source: Alexandria, functional PBE.

abc: 8.5141 8.5141 3.7534
angles: 90.00 90.00 90.00
Sites, in units of the cell vectors:
Pb (0.1923, 0.6923, 0.5000)
Pb (0.6923, 0.8077, 0.5000)
Pb (0.8077, 0.3077, 0.5000)
Pb (0.3077, 0.1923, 0.5000)
Ga (0.3889, 0.8889, 0.0000)
Ga (0.8889, 0.6111, 0.0000)
Ga (0.6111, 0.1111, 0.0000)
Ga (0.1111, 0.3889, 0.0000)
Br (0.0000, 0.0000, 0.0000)
Br (0.5000, 0.5000, 0.0000)

Summary:
Uncorrected formation energy: -0.03 eV/atom
DOS(E_F): 0.537 states/eV per atom
Excess energy over the best structure of this formula in the dataset: 128 meV/atom
Total magnetic moment: 0.0 μB per cell


A relaxed structure of Ga2Pb2Br7. Source: Alexandria, functional PBE.

abc: 7.9760 7.7997 7.7997
angles: 108.63 93.33 93.33
Sites, in units of the cell vectors:
Ga (0.4023, 0.2620, 0.2620)
Ga (0.5977, 0.7380, 0.7380)
Pb (0.0000, 0.3198, 0.6802)
Pb (0.0000, 0.6802, 0.3198)
Br (0.7929, 0.9502, 0.5914)
Br (0.2071, 0.4086, 0.0498)
Br (0.2071, 0.0498, 0.4086)
Br (0.7929, 0.5914, 0.9502)
Br (0.5000, 0.0000, 0.0000)
Br (0.2425, 0.5873, 0.5873)
Br (0.7575, 0.4127, 0.4127)

Summary:
Uncorrected formation energy: -0.70 eV/atom
DOS(E_F): 0.392 states/eV per atom
Total magnetic moment: 0.0 μB per cell


A relaxed structure of Ga5Pb3Br12. Source: Alexandria, functional PBE.

abc: 15.4310 15.4310 15.4310
angles: 109.47 109.47 109.47
Sites, in units of the cell vectors:
Pb (0.7500, 0.3750, 0.1250)
Pb (0.8750, 0.7500, 0.1250)
Pb (0.3750, 0.7500, 0.6250)
Pb (0.2500, 0.1250, 0.3750)
Pb (0.8750, 0.1250, 0.2500)
Pb (0.3750, 0.6250, 0.2500)
Pb (0.6250, 0.3750, 0.7500)
Pb (0.1250, 0.8750, 0.7500)
Pb (0.7500, 0.8750, 0.6250)
Pb (0.6250, 0.2500, 0.3750)
Pb (0.1250, 0.2500, 0.8750)
Pb (0.2500, 0.6250, 0.8750)
Ga (0.1250, 0.3750, 0.2500)
Ga (0.0000, 0.5000, 0.0000)
Ga (0.0000, 0.0000, 0.0000)
Ga (0.3750, 0.2500, 0.1250)
Ga (0.5000, 0.0000, 0.5000)
Ga (0.5000, 0.5000, 0.0000)
Ga (0.1250, 0.7500, 0.3750)
Ga (0.7500, 0.1250, 0.8750)
Ga (0.7500, 0.6250, 0.3750)
Ga (0.3750, 0.1250, 0.7500)
Ga (0.6250, 0.8750, 0.2500)
Ga (0.5000, 0.5000, 0.5000)
Ga (0.5000, 0.0000, 0.0000)
Ga (0.0000, 0.0000, 0.5000)
Ga (0.2500, 0.3750, 0.6250)
Ga (0.2500, 0.8750, 0.1250)
Ga (0.0000, 0.5000, 0.5000)
Ga (0.8750, 0.2500, 0.6250)
Ga (0.6250, 0.7500, 0.8750)
Ga (0.8750, 0.6250, 0.7500)
Br (0.7272, 0.1322, 0.0497)
Br (0.3225, 0.5497, 0.4174)
Br (0.9503, 0.3678, 0.2728)
Br (0.5497, 0.2272, 0.1322)
Br (0.5949, 0.7272, 0.6775)
Br (0.9503, 0.5826, 0.1775)
Br (0.3225, 0.7728, 0.4051)
Br (0.0826, 0.9051, 0.1322)
Br (0.5826, 0.9503, 0.6775)
Br (0.7272, 0.5949, 0.1775)
Br (0.7728, 0.4503, 0.3678)
Br (0.8225, 0.9174, 0.0497)
Br (0.1322, 0.7272, 0.5497)
Br (0.3678, 0.4174, 0.0949)
Br (0.0949, 0.9174, 0.3678)
Br (0.4051, 0.1322, 0.5826)
Br (0.0949, 0.1775, 0.2272)
Br (0.4503, 0.6775, 0.0826)
Br (0.8225, 0.9051, 0.2728)
Br (0.1322, 0.4051, 0.0826)
Br (0.3678, 0.9503, 0.7728)
Br (0.5826, 0.6322, 0.4051)
Br (0.9174, 0.8225, 0.5497)
Br (0.7728, 0.3225, 0.9051)
Br (0.4174, 0.3678, 0.5949)
Br (0.0826, 0.1775, 0.4503)
Br (0.2272, 0.6775, 0.0949)
Br (0.1775, 0.0949, 0.7272)
Br (0.6322, 0.0497, 0.2272)
Br (0.8678, 0.5949, 0.9174)
Br (0.5497, 0.3225, 0.9174)
Br (0.5949, 0.8678, 0.4174)
Br (0.9051, 0.8225, 0.7728)
Br (0.9051, 0.0826, 0.6322)
Br (0.8678, 0.2728, 0.4503)
Br (0.1775, 0.0826, 0.9503)
Br (0.6322, 0.5826, 0.9051)
Br (0.4174, 0.0497, 0.3225)
Br (0.2728, 0.4051, 0.8225)
Br (0.2272, 0.5497, 0.6322)
Br (0.9174, 0.0949, 0.8678)
Br (0.6775, 0.2272, 0.5949)
Br (0.4503, 0.7728, 0.8678)
Br (0.0497, 0.4174, 0.8225)
Br (0.4051, 0.2728, 0.3225)
Br (0.0497, 0.6322, 0.7272)
Br (0.6775, 0.4503, 0.5826)
Br (0.2728, 0.8678, 0.9503)

Summary:
Uncorrected formation energy: -0.60 eV/atom
DOS(E_F): 0.600 states/eV per atom
Total magnetic moment: 0.0 μB per cell